Compound: RhSe2Br
Source: Alexandria via LeMat-Bulk
Functional: PBEsol
Structure: relaxed

The magnetic moment comes out at 0.000 μB/atom. For the uncorrected formation energy, the calculation gives 0.264 eV/atom. The calculation puts the energy above the most stable polymorph in this dataset at 0.5931 eV/atom.

The structure belongs to space group I4/mmm (No. 139); the cell edges are 5.2885, 5.2885 and 5.4127 Å and the angles 90.00°, 90.00° and 90.00°. The asymmetric unit holds Rh at (0.0000, 0.0000, 0.0000), Se at (0.0000, 0.5000, 0.0000) and Br at (0.0000, 0.0000, 0.5000).